A plane-wave DFT calculation with PBE-GGA was carried out for a geometry-optimized BeTcGeAs structure.

## Properties
The spin magnetization is 0.24 μB per cell.

Cell lengths 4.342, 4.342, 4.342 Å; angles 60.00, 60.00, 60.00 degrees
Element x y z (fractional)
Be 0.750 0.750 0.750
As 0.250 0.250 0.250
Tc 0.500 0.500 0.500
Ge 0.000 0.000 0.000

A plane-wave DFT calculation with PBE-GGA was carried out for a geometry-optimized BeZnGe2As4 structure.

Cell lengths 6.846, 6.846, 6.846 Å; angles 131.81, 131.81, 70.52 degrees
Element x y z (fractional)
As 0.116 0.646 0.001
Ge 0.750 0.250 0.500
As 0.645 0.115 0.999
Zn 0.250 0.750 0.500
Be 0.000 0.000 0.000
As 0.885 0.884 0.530
Ge 0.500 0.500 0.000
As 0.354 0.355 0.470

Electronic total energy list, top to bottom, in eV/atom: -5.32, -4.27
Ρ list, top to bottom, in g cm⁻³: 7.3, 4.9